1.
DFT (PBE) results for crystalline Ag2HgOs at its relaxed geometry.

## Properties
Uncorrected energy in eV/cell: -14.033
Calculated formation energy in eV per atom: 0.80
Magnetic moment in μB/cell: 1.19
Space-group type: I4/mmm, No. 139

Cell lengths 5.1150, 5.1150, 5.1150 Å; angles 132.74, 132.74, 69.07 degrees
Each line ends with the local moment (μB).
Fractional positions:
Hg (0.2500, 0.7500, 0.5000)  -0.02
Os (0.7500, 0.2500, 0.5000)  1.08
Ag (0.0000, 0.0000, 0.0000)  0.03
Ag (0.5000, 0.5000, 0.0000)  0.03

***

2.
DFT (PBE) results for crystalline PmNd2Zr at its relaxed geometry.

## Properties
Uncorrected energy in eV/cell: -22.280
Calculated formation energy in eV per atom: 0.14
Relative energy among the computed polymorphs in meV per atom: 13
Magnetic moment in μB/cell: 0.00
Space-group type: P4/mmm, No. 123

Cell lengths 4.9842, 4.9951, 4.9951 Å; angles 90.00, 90.00, 90.00 degrees
Fractional positions:
Nd (0.0000, 0.5000, 0.0000)
Pm (0.5000, 0.5000, 0.5000)
Nd (0.0000, 0.0000, 0.5000)
Zr (0.5000, 0.0000, 0.0000)

***

- What is the uncorrected energy in the first record?
  -14.033 eV/cell

***

- Which of these has the lowest magnetic moment?
  PmNd2Zr

***

- magnetic moment of number 2 (PmNd2Zr)?
  0.00 μB/cell

***

- The highest calculated formation energy belongs to which entry?
  Ag2HgOs